# Tb5Pm2Ga4 (PBE, optimized geometry)
# E_form = -0.038 eV per atom
# Mass density = 7.38 g cm⁻³
data_Tb5Pm2Ga4
_space_group_name_H-M_alt 'I m m m'
_space_group_IT_number 71
_space_group_name_Hall '-I 2 2'
_cell_length_a 3.418
_cell_length_b 10.008
_cell_length_c 17.928
_cell_angle_alpha 90.00
_cell_angle_beta 90.00
_cell_angle_gamma 90.00
loop_
_atom_site_label
_atom_site_type_symbol
_atom_site_fract_x
_atom_site_fract_y
_atom_site_fract_z
Tb1 Tb 0.000 0.000 0.000
Tb2 Tb 0.000 0.168 0.325
Pm1 Pm 0.000 0.500 0.325
Ga1 Ga 0.000 0.226 0.500
Ga2 Ga 0.000 0.500 0.069